(1)
# TcW (GGA-PBE, optimized geometry)
data_TcW
_cell_length_a 3.134
_cell_length_b 4.432
_cell_length_c 8.907
_cell_angle_alpha 90.00
_cell_angle_beta 90.00
_cell_angle_gamma 90.00
_space_group_name_H-M_alt 'I m m a'
_space_group_IT_number 74
_space_group_name_Hall '-I 2b 2'
loop_
_atom_site_label
_atom_site_fract_x
_atom_site_fract_y
_atom_site_fract_z
_atom_site_occupancy
Tc1 0.000 0.250 0.117 1
W1 0.000 0.250 0.630 1
# Volume in Å³/f.u.: 31
# Formation energy from the elements in kJ/mol of formula units: 12
# Energy above the lowest structure with this stoichiometry in eV/f.u.: 0.00
# M_tot in μB per cell: 0.00
# ρ in g/cm³: 15.13

---

(2)
# La4NdSn4 (GGA-PBE, optimized geometry)
data_La4NdSn4
_cell_length_a 9.729
_cell_length_b 9.729
_cell_length_c 6.616
_cell_angle_alpha 90.00
_cell_angle_beta 90.00
_cell_angle_gamma 90.00
_space_group_name_H-M_alt 'P 42/n'
_space_group_IT_number 86
loop_
_space_group_symop_operation_xyz
'x,y,z'
'-x,-y,-z'
'-y,x+1/2,z+1/2'
'y,-x+1/2,-z+1/2'
'-x+1/2,-y+1/2,z'
'x+1/2,y+1/2,-z'
'y+1/2,-x,z+1/2'
'-y+1/2,x,-z+1/2'
loop_
_atom_site_label
_atom_site_fract_x
_atom_site_fract_y
_atom_site_fract_z
_atom_site_occupancy
La1 0.037 0.667 0.113 1
Nd1 0.250 0.250 0.250 1
Sn1 0.024 0.641 0.605 1
# Volume in Å³/f.u.: 313
# Formation energy from the elements in kJ/mol of formula units: -460
# M_tot in μB per cell: 0.00
# ρ in g/cm³: 6.23

---

(3)
# EuInPd (GGA-PBE, optimized geometry)
data_EuInPd
_cell_length_a 7.431
_cell_length_b 4.548
_cell_length_c 8.554
_cell_angle_alpha 90.00
_cell_angle_beta 90.00
_cell_angle_gamma 90.00
_space_group_name_H-M_alt 'P n m a'
_space_group_IT_number 62
loop_
_space_group_symop_operation_xyz
'x,y,z'
'-x,-y,-z'
'-x+1/2,-y,z+1/2'
'x+1/2,y,-z+1/2'
'x+1/2,-y+1/2,-z+1/2'
'-x+1/2,y+1/2,z+1/2'
'-x,y+1/2,-z'
'x,-y+1/2,z'
loop_
_atom_site_label
_atom_site_fract_x
_atom_site_fract_y
_atom_site_fract_z
_atom_site_occupancy
Eu1 0.034 0.250 0.180 1
In1 0.147 0.250 0.563 1
Pd1 0.231 0.750 0.377 1
# Volume in Å³/f.u.: 72
# Formation energy from the elements in kJ/mol of formula units: -205
# M_tot in μB per cell: 27.86
# ρ in g/cm³: 8.58

---

(4)
# La6FeI3Cl2 (GGA-PBE, optimized geometry)
data_La6FeI3Cl2
_cell_length_a 7.378
_cell_length_b 12.772
_cell_length_c 8.267
_cell_angle_alpha 90.00
_cell_angle_beta 107.23
_cell_angle_gamma 90.00
_space_group_name_H-M_alt 'C 1 2/m 1'
_space_group_IT_number 12
loop_
_space_group_symop_operation_xyz
'x,y,z'
'-x,-y,-z'
'-x,y,-z'
'x,-y,z'
'x+1/2,y+1/2,z'
'-x+1/2,-y+1/2,-z'
'-x+1/2,y+1/2,-z'
'x+1/2,-y+1/2,z'
loop_
_atom_site_label
_atom_site_fract_x
_atom_site_fract_y
_atom_site_fract_z
_atom_site_occupancy
La1 0.219 0.154 0.194 1
La2 0.241 0.000 0.800 1
Fe1 0.000 0.000 0.000 1
I1 0.000 0.172 0.500 1
I2 0.000 0.500 0.500 1
Cl1 0.000 0.335 0.000 1
# Volume in Å³/f.u.: 372
# M_tot in μB per cell: 0.00
# Formation energy from raw total energies in meV/atom: -1044
# ρ in g/cm³: 5.98

---

(5)
# BaSr2TaO6 (GGA-PBE, optimized geometry)
data_BaSr2TaO6
_cell_length_a 5.983
_cell_length_b 6.418
_cell_length_c 10.489
_cell_angle_alpha 90.00
_cell_angle_beta 123.75
_cell_angle_gamma 90.00
_space_group_name_H-M_alt 'P 1 21/c 1'
_space_group_IT_number 14
loop_
_space_group_symop_operation_xyz
'x,y,z'
'-x,-y,-z'
'-x,y+1/2,-z+1/2'
'x,-y+1/2,z+1/2'
loop_
_atom_site_label
_atom_site_fract_x
_atom_site_fract_y
_atom_site_fract_z
_atom_site_occupancy
Ba1 0.000 0.000 0.000 1
Sr1 0.219 0.045 0.727 1
Ta1 0.500 0.000 0.500 1
O1 0.181 0.155 0.467 1
O2 0.258 0.746 0.408 1
O3 0.407 0.088 0.291 1
# Volume in Å³/f.u.: 167
# M_tot in μB per cell: 2.19
# Formation energy from raw total energies in meV/atom: -2689
# ρ in g/cm³: 5.85

---

(6)
# RbSnHgAs (GGA-PBE, optimized geometry)
data_RbSnHgAs
_cell_length_a 4.065
_cell_length_b 5.623
_cell_length_c 12.031
_cell_angle_alpha 90.00
_cell_angle_beta 90.00
_cell_angle_gamma 90.00
_space_group_name_H-M_alt 'I m m 2'
_space_group_IT_number 44
loop_
_space_group_symop_operation_xyz
'x,y,z'
'-x,-y,z'
'-x,y,z'
'x,-y,z'
'x+1/2,y+1/2,z+1/2'
'-x+1/2,-y+1/2,z+1/2'
'-x+1/2,y+1/2,z+1/2'
'x+1/2,-y+1/2,z+1/2'
loop_
_atom_site_label
_atom_site_fract_x
_atom_site_fract_y
_atom_site_fract_z
_atom_site_occupancy
Rb1 0.000 0.000 0.000 1
Sn1 0.000 0.500 0.226 1
Hg1 0.000 0.000 0.328 1
As1 0.000 0.000 0.582 1
# Volume in Å³/f.u.: 138
# Formation energy from the elements in kJ/mol of formula units: -97
# M_tot in μB per cell: 0.00
# ρ in g/cm³: 5.79

---

(7)
# NaCdPCl2 (GGA-PBE, optimized geometry)
data_NaCdPCl2
_cell_length_a 5.504
_cell_length_b 5.504
_cell_length_c 5.048
_cell_angle_alpha 90.00
_cell_angle_beta 90.00
_cell_angle_gamma 90.00
_space_group_name_H-M_alt 'P 4/m m m'
_space_group_IT_number 123
_space_group_name_Hall '-P 4 2'
loop_
_atom_site_label
_atom_site_fract_x
_atom_site_fract_y
_atom_site_fract_z
_atom_site_occupancy
Na1 0.000 0.000 0.000 1
Cd1 0.500 0.500 0.500 1
P1 0.500 0.500 0.000 1
Cl1 0.000 0.500 0.500 1
# Volume in Å³/f.u.: 153
# Energy above the lowest structure with this stoichiometry in eV/f.u.: 0.00
# M_tot in μB per cell: 1.99
# Formation energy from raw total energies in meV/atom: -386
# ρ in g/cm³: 2.58

---

(8)
# AcLa2TlPt (GGA-PBE, optimized geometry)
data_AcLa2TlPt
_cell_length_a 5.654
_cell_length_b 5.656
_cell_length_c 5.953
_cell_angle_alpha 90.00
_cell_angle_beta 90.00
_cell_angle_gamma 90.00
_space_group_name_H-M_alt 'P m m 2'
_space_group_IT_number 25
loop_
_space_group_symop_operation_xyz
'x,y,z'
'-x,-y,z'
'-x,y,z'
'x,-y,z'
loop_
_atom_site_label
_atom_site_fract_x
_atom_site_fract_y
_atom_site_fract_z
_atom_site_occupancy
Ac1 0.000 0.000 0.000 1
La1 0.000 0.500 0.501 1
La2 0.500 0.000 0.496 1
Tl1 0.500 0.500 0.011 1
Pt1 0.000 0.000 0.500 1
# Volume in Å³/f.u.: 190
# Formation energy from the elements in kJ/mol of formula units: -219
# M_tot in μB per cell: 0.00
# ρ in g/cm³: 7.89

---

(9)
# LiOs2Br (GGA-PBE, optimized geometry)
data_LiOs2Br
_cell_length_a 12.723
_cell_length_b 2.924
_cell_length_c 3.740
_cell_angle_alpha 90.00
_cell_angle_beta 96.29
_cell_angle_gamma 90.00
_space_group_name_H-M_alt 'C 1 2/m 1'
_space_group_IT_number 12
loop_
_space_group_symop_operation_xyz
'x,y,z'
'-x,-y,-z'
'-x,y,-z'
'x,-y,z'
'x+1/2,y+1/2,z'
'-x+1/2,-y+1/2,-z'
'-x+1/2,y+1/2,-z'
'x+1/2,-y+1/2,z'
loop_
_atom_site_label
_atom_site_fract_x
_atom_site_fract_y
_atom_site_fract_z
_atom_site_occupancy
Li1 0.000 0.000 0.000 1
Os1 0.211 0.500 0.739 1
Br1 0.000 0.500 0.500 1
# Volume in Å³/f.u.: 69
# Energy above the lowest structure with this stoichiometry in eV/f.u.: 0.20
# M_tot in μB per cell: 0.00
# Formation energy from raw total energies in meV/atom: 379
# ρ in g/cm³: 11.22

---

(10)
# Na2YIn2 (GGA-PBE, optimized geometry)
data_Na2YIn2
_cell_length_a 8.871
_cell_length_b 8.871
_cell_length_c 3.367
_cell_angle_alpha 90.00
_cell_angle_beta 90.00
_cell_angle_gamma 90.00
_space_group_name_H-M_alt 'P 4/m b m'
_space_group_IT_number 127
_space_group_name_Hall '-P 4 2ab'
loop_
_atom_site_label
_atom_site_fract_x
_atom_site_fract_y
_atom_site_fract_z
_atom_site_occupancy
Na1 0.114 0.386 0.000 1
Y1 0.000 0.000 0.000 1
In1 0.188 0.688 0.500 1
# Volume in Å³/f.u.: 132
# Formation energy from the elements in kJ/mol of formula units: -25
# Energy above the lowest structure with this stoichiometry in eV/f.u.: 0.27
# M_tot in μB per cell: 0.46
# ρ in g/cm³: 4.57